Entry from Alexandria via LeMat-Bulk: a geometry-optimized Tb2DyAgHg4 structure (PBE).

Cell lengths 9.094, 9.094, 9.094 Å; angles 32.75, 32.75, 32.75 degrees
Fractional positions:
Tb: 0.242 0.242 0.242
Tb: 0.758 0.758 0.758
Dy: 0.000 0.000 0.000
Ag: 0.500 0.500 0.500
Hg: 0.123 0.123 0.123
Hg: 0.372 0.372 0.372
Hg: 0.628 0.628 0.628
Hg: 0.877 0.877 0.877

* total energy: -21.12 eV per cell
* calculated density: 11.80 g/cm³
* formation energy: -39 kJ/mol of atoms